--- P ---
Computed, not measured: a geometry-optimized LaHf2Ru2 structure at the PBE-GGA level of DFT.

CIF file:
```
data_LaHf2Ru2
_cell_length_a 6.5962
_cell_length_b 6.5962
_cell_length_c 6.5962
_cell_angle_alpha 141.22
_cell_angle_beta 141.22
_cell_angle_gamma 56.01
_symmetry_space_group_name_H-M 'P 1'
_symmetry_Int_Tables_number 1
_symmetry_space_group_name_Hall 'P 1'
loop_
_atom_site_label
_atom_site_type_symbol
_atom_site_fract_x
_atom_site_fract_y
_atom_site_fract_z
La1 La 0.0000 0.0000 0.0000
Hf1 Hf 0.2500 0.7500 0.5000
Hf2 Hf 0.7500 0.2500 0.5000
Ru1 Ru 0.3851 0.3851 0.0000
Ru2 Ru 0.6149 0.6149 0.0000
```

--- Q ---
Computed, not measured: a geometry-optimized LaHf2Ru2 structure at the PBE-GGA level of DFT.

CIF file:
```
data_LaHf2Ru2
_cell_length_a 6.4314
_cell_length_b 6.4314
_cell_length_c 6.4314
_cell_angle_alpha 138.61
_cell_angle_beta 138.61
_cell_angle_gamma 59.97
_symmetry_space_group_name_H-M 'P 1'
_symmetry_Int_Tables_number 1
_symmetry_space_group_name_Hall 'P 1'
loop_
_atom_site_label
_atom_site_type_symbol
_atom_site_fract_x
_atom_site_fract_y
_atom_site_fract_z
La1 La 0.0000 0.0000 0.0000
Hf1 Hf 0.3606 0.3606 0.0000
Hf2 Hf 0.6394 0.6394 0.0000
Ru1 Ru 0.2500 0.7500 0.5000
Ru2 Ru 0.7500 0.2500 0.5000
```

Pick P: it beats the second-best structure by 29.3 kJ/mol of atoms.

--- P ---
Computed, not measured: a geometry-optimized LaHf2Ru structure at the PBE-GGA level of DFT.

CIF file:
```
data_LaHf2Ru
_cell_length_a 11.0160
_cell_length_b 11.0160
_cell_length_c 11.0160
_cell_angle_alpha 158.14
_cell_angle_beta 158.14
_cell_angle_gamma 31.10
_symmetry_space_group_name_H-M 'P 1'
_symmetry_Int_Tables_number 1
_symmetry_space_group_name_Hall 'P 1'
loop_
_atom_site_label
_atom_site_type_symbol
_atom_site_fract_x
_atom_site_fract_y
_atom_site_fract_z
La1 La 0.0000 0.0000 0.0000
La2 La 0.7500 0.2500 0.5000
Hf1 Hf 0.1404 0.1250 0.5154
Hf2 Hf 0.3750 0.8596 0.9846
Hf3 Hf 0.6096 0.6250 0.4846
Hf4 Hf 0.8750 0.3904 0.0154
Ru1 Ru 0.2500 0.7500 0.5000
Ru2 Ru 0.5000 0.5000 0.0000
```

--- Q ---
Computed, not measured: a geometry-optimized LaHf2Ru structure at the PBE-GGA level of DFT.

CIF file:
```
data_LaHf2Ru
_cell_length_a 4.8800
_cell_length_b 4.8800
_cell_length_c 4.8800
_cell_angle_alpha 60.00
_cell_angle_beta 60.00
_cell_angle_gamma 60.00
_symmetry_space_group_name_H-M 'P 1'
_symmetry_Int_Tables_number 1
_symmetry_space_group_name_Hall 'P 1'
loop_
_atom_site_label
_atom_site_type_symbol
_atom_site_fract_x
_atom_site_fract_y
_atom_site_fract_z
La1 La 0.0000 0.0000 0.0000
Hf1 Hf 0.2500 0.2500 0.2500
Hf2 Hf 0.7500 0.7500 0.7500
Ru1 Ru 0.5000 0.5000 0.5000
```

Pick Q: it beats the second-best structure by 34.7 kJ/mol of atoms.

--- P ---
Computed, not measured: a geometry-optimized La2HfS5 structure at the PBE-GGA level of DFT.

CIF file:
```
data_La2HfS5
_cell_length_a 11.5096
_cell_length_b 8.2223
_cell_length_c 7.4169
_cell_angle_alpha 90.00
_cell_angle_beta 90.00
_cell_angle_gamma 90.00
_symmetry_space_group_name_H-M 'P 1'
_symmetry_Int_Tables_number 1
_symmetry_space_group_name_Hall 'P 1'
loop_
_atom_site_label
_atom_site_type_symbol
_atom_site_fract_x
_atom_site_fract_y
_atom_site_fract_z
La1 La 0.1712 0.0013 0.0586
La2 La 0.1712 0.4987 0.0586
La3 La 0.3288 0.5013 0.5586
La4 La 0.3288 0.9987 0.5586
La5 La 0.6712 0.0013 0.4414
La6 La 0.6712 0.4987 0.4414
La7 La 0.8288 0.5013 0.9414
La8 La 0.8288 0.9987 0.9414
Hf1 Hf 0.0091 0.2500 0.5713
Hf2 Hf 0.4909 0.7500 0.0713
Hf3 Hf 0.5091 0.2500 0.9287
Hf4 Hf 0.9909 0.7500 0.4287
S1 S 0.0054 0.2500 0.9390
S2 S 0.0724 0.5340 0.6765
S3 S 0.0724 0.9660 0.6765
S4 S 0.1913 0.2500 0.3623
S5 S 0.2066 0.7500 0.3419
S6 S 0.2934 0.2500 0.8419
S7 S 0.3087 0.7500 0.8623
S8 S 0.4276 0.0340 0.1765
S9 S 0.4276 0.4660 0.1765
S10 S 0.4946 0.7500 0.4390
S11 S 0.5054 0.2500 0.5610
S12 S 0.5724 0.5340 0.8235
S13 S 0.5724 0.9660 0.8235
S14 S 0.6913 0.2500 0.1377
S15 S 0.7066 0.7500 0.1581
S16 S 0.7934 0.2500 0.6581
S17 S 0.8087 0.7500 0.6377
S18 S 0.9276 0.0340 0.3235
S19 S 0.9276 0.4660 0.3235
S20 S 0.9946 0.7500 0.0610
```

--- Q ---
Computed, not measured: a geometry-optimized La2HfS5 structure at the PBE-GGA level of DFT.

CIF file:
```
data_La2HfS5
_cell_length_a 7.4974
_cell_length_b 7.4974
_cell_length_c 13.0776
_cell_angle_alpha 90.00
_cell_angle_beta 90.00
_cell_angle_gamma 138.83
_symmetry_space_group_name_H-M 'P 1'
_symmetry_Int_Tables_number 1
_symmetry_space_group_name_Hall 'P 1'
loop_
_atom_site_label
_atom_site_type_symbol
_atom_site_fract_x
_atom_site_fract_y
_atom_site_fract_z
La1 La 0.1432 0.8568 0.5674
La2 La 0.1432 0.8568 0.9326
La3 La 0.8568 0.1432 0.0674
La4 La 0.8568 0.1432 0.4326
Hf1 Hf 0.1810 0.8190 0.2500
Hf2 Hf 0.8190 0.1810 0.7500
S1 S 0.0500 0.9500 0.1234
S2 S 0.0500 0.9500 0.3766
S3 S 0.2773 0.7227 0.7500
S4 S 0.2934 0.7066 0.0924
S5 S 0.2934 0.7066 0.4076
S6 S 0.7066 0.2934 0.5924
S7 S 0.7066 0.2934 0.9076
S8 S 0.7227 0.2773 0.2500
S9 S 0.9500 0.0500 0.6234
S10 S 0.9500 0.0500 0.8766
```

Pick P: it beats the second-best structure by 11.7 kJ/mol of atoms.

--- P ---
Computed, not measured: a geometry-optimized LaHf3S structure at the PBE-GGA level of DFT.

CIF file:
```
data_LaHf3S
_cell_length_a 5.1860
_cell_length_b 5.1860
_cell_length_c 5.1860
_cell_angle_alpha 90.00
_cell_angle_beta 90.00
_cell_angle_gamma 90.00
_symmetry_space_group_name_H-M 'P 1'
_symmetry_Int_Tables_number 1
_symmetry_space_group_name_Hall 'P 1'
loop_
_atom_site_label
_atom_site_type_symbol
_atom_site_fract_x
_atom_site_fract_y
_atom_site_fract_z
La1 La 0.0000 0.0000 0.0000
Hf1 Hf 0.0000 0.0000 0.5000
Hf2 Hf 0.0000 0.5000 0.0000
Hf3 Hf 0.5000 0.0000 0.0000
S1 S 0.5000 0.5000 0.5000
```

--- Q ---
Computed, not measured: a geometry-optimized LaHf3S structure at the PBE-GGA level of DFT.

CIF file:
```
data_LaHf3S
_cell_length_a 4.9457
_cell_length_b 4.9457
_cell_length_c 4.9457
_cell_angle_alpha 90.00
_cell_angle_beta 90.00
_cell_angle_gamma 90.00
_symmetry_space_group_name_H-M 'P 1'
_symmetry_Int_Tables_number 1
_symmetry_space_group_name_Hall 'P 1'
loop_
_atom_site_label
_atom_site_type_symbol
_atom_site_fract_x
_atom_site_fract_y
_atom_site_fract_z
La1 La 0.0000 0.0000 0.0000
Hf1 Hf 0.0000 0.5000 0.5000
Hf2 Hf 0.5000 0.0000 0.5000
Hf3 Hf 0.5000 0.5000 0.0000
S1 S 0.5000 0.5000 0.5000
```

Pick Q: it beats the second-best structure by 198.2 kJ/mol of atoms.

--- P ---
Computed, not measured: a geometry-optimized LaHf3Sb structure at the PBE-GGA level of DFT.

CIF file:
```
data_LaHf3Sb
_cell_length_a 5.3430
_cell_length_b 5.3430
_cell_length_c 5.3430
_cell_angle_alpha 90.00
_cell_angle_beta 90.00
_cell_angle_gamma 90.00
_symmetry_space_group_name_H-M 'P 1'
_symmetry_Int_Tables_number 1
_symmetry_space_group_name_Hall 'P 1'
loop_
_atom_site_label
_atom_site_type_symbol
_atom_site_fract_x
_atom_site_fract_y
_atom_site_fract_z
La1 La 0.0000 0.0000 0.0000
Hf1 Hf 0.0000 0.5000 0.5000
Hf2 Hf 0.5000 0.0000 0.5000
Hf3 Hf 0.5000 0.5000 0.0000
Sb1 Sb 0.5000 0.5000 0.5000
```

--- Q ---
Computed, not measured: a geometry-optimized LaHf3Sb structure at the PBE-GGA level of DFT.

CIF file:
```
data_LaHf3Sb
_cell_length_a 5.1788
_cell_length_b 5.1788
_cell_length_c 5.1788
_cell_angle_alpha 90.00
_cell_angle_beta 90.00
_cell_angle_gamma 90.00
_symmetry_space_group_name_H-M 'P 1'
_symmetry_Int_Tables_number 1
_symmetry_space_group_name_Hall 'P 1'
loop_
_atom_site_label
_atom_site_type_symbol
_atom_site_fract_x
_atom_site_fract_y
_atom_site_fract_z
La1 La 0.0000 0.0000 0.0000
Hf1 Hf 0.0000 0.0000 0.5000
Hf2 Hf 0.0000 0.5000 0.0000
Hf3 Hf 0.5000 0.0000 0.0000
Sb1 Sb 0.5000 0.5000 0.5000
```

Pick P: it beats the second-best structure by 81.5 kJ/mol of atoms.

--- P ---
Computed, not measured: a geometry-optimized LaHfSb2 structure at the PBE-GGA level of DFT.

CIF file:
```
data_LaHfSb2
_cell_length_a 7.7545
_cell_length_b 7.7545
_cell_length_c 7.7545
_cell_angle_alpha 148.77
_cell_angle_beta 148.77
_cell_angle_gamma 44.75
_symmetry_space_group_name_H-M 'P 1'
_symmetry_Int_Tables_number 1
_symmetry_space_group_name_Hall 'P 1'
loop_
_atom_site_label
_atom_site_type_symbol
_atom_site_fract_x
_atom_site_fract_y
_atom_site_fract_z
La1 La 0.0000 0.0000 0.0000
Hf1 Hf 0.2500 0.7500 0.5000
Sb1 Sb 0.3801 0.3801 0.0000
Sb2 Sb 0.6199 0.6199 0.0000
```

--- Q ---
Computed, not measured: a geometry-optimized LaHfSb2 structure at the PBE-GGA level of DFT.

CIF file:
```
data_LaHfSb2
_cell_length_a 5.3001
_cell_length_b 5.3001
_cell_length_c 5.3001
_cell_angle_alpha 60.00
_cell_angle_beta 60.00
_cell_angle_gamma 60.00
_symmetry_space_group_name_H-M 'P 1'
_symmetry_Int_Tables_number 1
_symmetry_space_group_name_Hall 'P 1'
loop_
_atom_site_label
_atom_site_type_symbol
_atom_site_fract_x
_atom_site_fract_y
_atom_site_fract_z
La1 La 0.0000 0.0000 0.0000
Hf1 Hf 0.5000 0.5000 0.5000
Sb1 Sb 0.2500 0.2500 0.2500
Sb2 Sb 0.7500 0.7500 0.7500
```

Pick Q: it beats the second-best structure by 0.8 kJ/mol of atoms.